1.
BaSr2PuO6 | PBE-GGA | relaxed

## Properties
crystal system: trigonal
energy relative to the elements, uncorrected: -2.78 eV per atom
total magnetic moment: 6.00 μB per cell

CIF file:
```
data_BaSr2PuO6
_chemical_formula_sum 'Ba3 Sr6 Pu3 O18'
_symmetry_space_group_name_H-M 'R 3'
_symmetry_Int_Tables_number 146
_symmetry_space_group_name_Hall 'R 3'
_cell_length_a 6.2400
_cell_length_b 6.2400
_cell_length_c 16.0641
_cell_angle_alpha 90.00
_cell_angle_beta 90.00
_cell_angle_gamma 120.00
loop_
_atom_site_label
_atom_site_type_symbol
_atom_site_fract_x
_atom_site_fract_y
_atom_site_fract_z
Ba1 Ba 0.0000 0.0000 0.0000
Sr1 Sr 0.0000 0.0000 0.2668
Sr2 Sr 0.0000 0.0000 0.7791
Pu1 Pu 0.0000 0.0000 0.4815
O1 O 0.0003 0.7412 0.3995
O2 O 0.0259 0.3936 0.2143
```

2.
CeLu2Si | PBE-GGA | relaxed

## Properties
crystal system: trigonal
offset from the most stable computed form: 141 meV per atom
energy relative to the elements, uncorrected: -0.11 eV per atom
total magnetic moment: 3.95 μB per cell

CIF file:
```
data_CeLu2Si
_chemical_formula_sum 'Ce3 Lu6 Si3'
_symmetry_space_group_name_H-M 'R -3 m'
_symmetry_Int_Tables_number 166
_symmetry_space_group_name_Hall '-R 3 2"'
_cell_length_a 3.4863
_cell_length_b 3.4863
_cell_length_c 29.8379
_cell_angle_alpha 90.00
_cell_angle_beta 90.00
_cell_angle_gamma 120.00
loop_
_atom_site_label
_atom_site_type_symbol
_atom_site_fract_x
_atom_site_fract_y
_atom_site_fract_z
Ce1 Ce 0.0000 0.0000 0.0000
Lu1 Lu 0.0000 0.0000 0.2340
Si1 Si 0.0000 0.0000 0.5000
```

3.
SrDyTe | PBE-GGA | relaxed

## Properties
crystal system: tetragonal
energy relative to the elements, uncorrected: -0.87 eV per atom
total magnetic moment: 2.59 μB per cell

CIF file:
```
data_SrDyTe
_chemical_formula_sum 'Sr4 Dy4 Te4'
_symmetry_space_group_name_H-M 'I 4/m m m'
_symmetry_Int_Tables_number 139
_symmetry_space_group_name_Hall '-I 4 2'
_cell_length_a 4.619
_cell_length_b 4.619
_cell_length_c 18.209
_cell_angle_alpha 90.00
_cell_angle_beta 90.00
_cell_angle_gamma 90.00
loop_
_atom_site_label
_atom_site_type_symbol
_atom_site_fract_x
_atom_site_fract_y
_atom_site_fract_z
Sr1 Sr 0.000 0.000 0.177
Dy1 Dy 0.000 0.500 0.000
Te1 Te 0.000 0.000 0.372
```

4.
La2BeNi3Ge4 | PBE-GGA | relaxed

## Properties
crystal system: tetragonal
total magnetic moment: 0.00 μB per cell
energy of formation from the pure elements: -6.502 eV/f.u.

CIF file:
```
data_La2BeNi3Ge4
_chemical_formula_sum 'La2 Be1 Ni3 Ge4'
_symmetry_space_group_name_H-M 'P -4 m 2'
_symmetry_Int_Tables_number 115
_symmetry_space_group_name_Hall 'P -4 -2'
_cell_length_a 4.194
_cell_length_b 4.194
_cell_length_c 9.815
_cell_angle_alpha 90.00
_cell_angle_beta 90.00
_cell_angle_gamma 90.00
loop_
_atom_site_label
_atom_site_type_symbol
_atom_site_fract_x
_atom_site_fract_y
_atom_site_fract_z
La1 La 0.000 0.500 0.247
Be1 Be 0.500 0.500 0.000
Ni1 Ni 0.000 0.000 0.000
Ni2 Ni 0.000 0.500 0.624
Ge1 Ge 0.000 0.000 0.500
Ge2 Ge 0.000 0.500 0.874
Ge3 Ge 0.500 0.500 0.500
```

5.
Rb3U2S3O4 | PBE-GGA | relaxed

## Properties
crystal system: orthorhombic
energy relative to the elements, uncorrected: -2.12 eV per atom
total magnetic moment: 2.01 μB per cell

CIF file:
```
data_Rb3U2S3O4
_chemical_formula_sum 'Rb6 U4 S6 O8'
_symmetry_space_group_name_H-M 'I m m m'
_symmetry_Int_Tables_number 71
_symmetry_space_group_name_Hall '-I 2 2'
_cell_length_a 4.264
_cell_length_b 5.376
_cell_length_c 24.934
_cell_angle_alpha 90.00
_cell_angle_beta 90.00
_cell_angle_gamma 90.00
loop_
_atom_site_label
_atom_site_type_symbol
_atom_site_fract_x
_atom_site_fract_y
_atom_site_fract_z
Rb1 Rb 0.000 0.000 0.000
Rb2 Rb 0.000 0.000 0.200
U1 U 0.000 0.000 0.392
S1 S 0.000 0.000 0.500
S2 S 0.000 0.500 0.396
O1 O 0.000 0.000 0.315
O2 O 0.000 0.500 0.107
```

6.
Sr5CaTl | PBE-GGA | relaxed

## Properties
crystal system: monoclinic
total magnetic moment: 0.00 μB per cell
energy of formation from the pure elements: 0.761 eV/f.u.

CIF file:
```
data_Sr5CaTl
_chemical_formula_sum 'Sr20 Ca4 Tl4'
_symmetry_space_group_name_H-M 'C 1 2/c 1'
_symmetry_Int_Tables_number 15
_symmetry_space_group_name_Hall '-C 2yc'
_cell_length_a 13.084
_cell_length_b 9.441
_cell_length_c 13.473
_cell_angle_alpha 90.00
_cell_angle_beta 117.81
_cell_angle_gamma 90.00
loop_
_atom_site_label
_atom_site_type_symbol
_atom_site_fract_x
_atom_site_fract_y
_atom_site_fract_z
Sr1 Sr 0.000 0.078 0.250
Sr2 Sr 0.110 0.358 0.488
Sr3 Sr 0.233 0.377 0.251
Ca1 Ca 0.000 0.336 0.750
Tl1 Tl 0.000 0.000 0.000
```

7.
UTa2MnC4 | PBE-GGA | relaxed

## Properties
crystal system: orthorhombic
total magnetic moment: 4.71 μB per cell
energy of formation from the pure elements: -2.819 eV/f.u.

CIF file:
```
data_UTa2MnC4
_chemical_formula_sum 'U4 Ta8 Mn4 C16'
_symmetry_space_group_name_H-M 'C m c m'
_symmetry_Int_Tables_number 63
_symmetry_space_group_name_Hall '-C 2c 2'
_cell_length_a 3.200
_cell_length_b 10.969
_cell_length_c 10.736
_cell_angle_alpha 90.00
_cell_angle_beta 90.00
_cell_angle_gamma 90.00
loop_
_atom_site_label
_atom_site_type_symbol
_atom_site_fract_x
_atom_site_fract_y
_atom_site_fract_z
U1 U 0.000 0.103 0.250
Ta1 Ta 0.000 0.370 0.046
Mn1 Mn 0.000 0.157 0.750
C1 C 0.000 0.000 0.000
C2 C 0.000 0.269 0.622
C3 C 0.000 0.438 0.250
```

8.
Pm2Sm3Tl3 | PBE-GGA | relaxed

## Properties
crystal system: hexagonal
offset from the most stable computed form: 0 meV per atom
total magnetic moment: 0.00 μB per cell
energy of formation from the pure elements: -2.306 eV/f.u.

CIF file:
```
data_Pm2Sm3Tl3
_chemical_formula_sum 'Pm4 Sm6 Tl6'
_symmetry_space_group_name_H-M 'P 63/m c m'
_symmetry_Int_Tables_number 193
_symmetry_space_group_name_Hall '-P 6c 2'
_cell_length_a 9.2345
_cell_length_b 9.2345
_cell_length_c 6.8410
_cell_angle_alpha 90.00
_cell_angle_beta 90.00
_cell_angle_gamma 120.00
loop_
_atom_site_label
_atom_site_type_symbol
_atom_site_fract_x
_atom_site_fract_y
_atom_site_fract_z
Pm1 Pm 0.3333 0.6667 0.0000
Sm1 Sm 0.0000 0.2352 0.2500
Tl1 Tl 0.0000 0.4020 0.7500
```

What is the formula in the fourth record?
La2BeNi3Ge4

Repeat the second record exactly.
CeLu2Si | PBE-GGA | relaxed

## Properties
crystal system: trigonal
offset from the most stable computed form: 141 meV per atom
energy relative to the elements, uncorrected: -0.11 eV per atom
total magnetic moment: 3.95 μB per cell

CIF file:
```
data_CeLu2Si
_chemical_formula_sum 'Ce3 Lu6 Si3'
_symmetry_space_group_name_H-M 'R -3 m'
_symmetry_Int_Tables_number 166
_symmetry_space_group_name_Hall '-R 3 2"'
_cell_length_a 3.4863
_cell_length_b 3.4863
_cell_length_c 29.8379
_cell_angle_alpha 90.00
_cell_angle_beta 90.00
_cell_angle_gamma 120.00
loop_
_atom_site_label
_atom_site_type_symbol
_atom_site_fract_x
_atom_site_fract_y
_atom_site_fract_z
Ce1 Ce 0.0000 0.0000 0.0000
Lu1 Lu 0.0000 0.0000 0.2340
Si1 Si 0.0000 0.0000 0.5000
```

Copy entry 3 word for word.
SrDyTe | PBE-GGA | relaxed

## Properties
crystal system: tetragonal
energy relative to the elements, uncorrected: -0.87 eV per atom
total magnetic moment: 2.59 μB per cell

CIF file:
```
data_SrDyTe
_chemical_formula_sum 'Sr4 Dy4 Te4'
_symmetry_space_group_name_H-M 'I 4/m m m'
_symmetry_Int_Tables_number 139
_symmetry_space_group_name_Hall '-I 4 2'
_cell_length_a 4.619
_cell_length_b 4.619
_cell_length_c 18.209
_cell_angle_alpha 90.00
_cell_angle_beta 90.00
_cell_angle_gamma 90.00
loop_
_atom_site_label
_atom_site_type_symbol
_atom_site_fract_x
_atom_site_fract_y
_atom_site_fract_z
Sr1 Sr 0.000 0.000 0.177
Dy1 Dy 0.000 0.500 0.000
Te1 Te 0.000 0.000 0.372
```